Below is an optimized crystal structure of PrInSnPb, with properties calculated at the GGA-PBE level.

a b c (Å): 4.7939 4.8276 4.8684
angles (deg): 90.00 90.00 90.00
Atoms (fractional coordinates):
Pb 0.5000 0.0000 0.5000
In 0.0000 0.0000 0.0000
Pr 0.5000 0.5000 0.0000
Sn 0.0000 0.5000 0.5000

Results
- total energy (eV/atom) = -4.263
- ΔH_f (0 K) (eV/atom) = -0.46
- symmetry = Pmmm, No. 47